# Cr2InGeO

A relaxed structure of Cr2InGeO (GGA+U, Alexandria).

Magnetic moment, μB per cell: 8.15
Final energy, eV per atom: -4.66
Theoretical density, g/cm3: 3.98

```
data_Cr2InGeO
_chemical_formula_sum 'Cr2 In1 Ge1 O1'
_symmetry_space_group_name_H-M 'P 4/m m m'
_symmetry_Int_Tables_number 123
_symmetry_space_group_name_Hall '-P 4 2'
_cell_length_a 4.9185
_cell_length_b 4.9185
_cell_length_c 5.3066
_cell_angle_alpha 90.00
_cell_angle_beta 90.00
_cell_angle_gamma 90.00
loop_
_atom_site_label
_atom_site_fract_x
_atom_site_fract_y
_atom_site_fract_z
Cr1 0.0000 0.5000 0.0000
In1 0.0000 0.0000 0.5000
Ge1 0.0000 0.0000 0.0000
O1 0.5000 0.5000 0.5000
```